[1]
# TiTl2AuS4 PBE relaxed
data_TiTl2AuS4
_cell_length_a 6.490
_cell_length_b 6.490
_cell_length_c 6.490
_cell_angle_alpha 111.36
_cell_angle_beta 111.36
_cell_angle_gamma 105.75
_space_group_name_H-M_alt 'P 1'
_space_group_IT_number 1
_space_group_name_Hall 'P 1'
loop_
_atom_site_label
_atom_site_type_symbol
_atom_site_fract_x
_atom_site_fract_y
_atom_site_fract_z
Ti1 Ti 0.000 0.000 0.000
Tl1 Tl 0.500 0.500 0.000
Tl2 Tl 0.750 0.250 0.500
Au1 Au 0.250 0.750 0.500
S1 S 0.010 0.948 0.635
S2 S 0.052 0.688 0.062
S3 S 0.312 0.375 0.365
S4 S 0.625 0.990 0.938
# space group: No. 82
# formation energy (no corrections): -542 meV/atom
# E: -4.59 eV/atom

[2]
# Mn3Zn5N12 PBE relaxed
data_Mn3Zn5N12
_cell_length_a 10.840
_cell_length_b 10.840
_cell_length_c 10.840
_cell_angle_alpha 109.47
_cell_angle_beta 109.47
_cell_angle_gamma 109.47
_space_group_name_H-M_alt 'P 1'
_space_group_IT_number 1
_space_group_name_Hall 'P 1'
loop_
_atom_site_label
_atom_site_type_symbol
_atom_site_fract_x
_atom_site_fract_y
_atom_site_fract_z
Mn1 Mn 0.125 0.250 0.375
Mn2 Mn 0.125 0.375 0.750
Mn3 Mn 0.250 0.375 0.125
Mn4 Mn 0.250 0.875 0.625
Mn5 Mn 0.375 0.125 0.250
Mn6 Mn 0.375 0.750 0.125
Mn7 Mn 0.625 0.250 0.875
Mn8 Mn 0.625 0.875 0.750
Mn9 Mn 0.750 0.125 0.375
Mn10 Mn 0.750 0.625 0.875
Mn11 Mn 0.875 0.625 0.250
Mn12 Mn 0.875 0.750 0.625
Zn1 Zn 0.000 0.000 0.000
Zn2 Zn 0.000 0.000 0.500
Zn3 Zn 0.000 0.500 0.000
Zn4 Zn 0.000 0.500 0.500
Zn5 Zn 0.125 0.750 0.875
Zn6 Zn 0.125 0.875 0.250
Zn7 Zn 0.250 0.125 0.875
Zn8 Zn 0.250 0.625 0.375
Zn9 Zn 0.375 0.250 0.625
Zn10 Zn 0.375 0.625 0.750
Zn11 Zn 0.500 0.000 0.000
Zn12 Zn 0.500 0.000 0.500
Zn13 Zn 0.500 0.500 0.000
Zn14 Zn 0.500 0.500 0.500
Zn15 Zn 0.625 0.375 0.250
Zn16 Zn 0.625 0.750 0.375
Zn17 Zn 0.750 0.375 0.625
Zn18 Zn 0.750 0.875 0.125
Zn19 Zn 0.875 0.125 0.750
Zn20 Zn 0.875 0.250 0.125
N1 N 0.087 0.679 0.371
N2 N 0.087 0.908 0.716
N3 N 0.092 0.284 0.913
N4 N 0.092 0.308 0.179
N5 N 0.129 0.808 0.716
N6 N 0.129 0.821 0.413
N7 N 0.179 0.092 0.308
N8 N 0.179 0.587 0.871
N9 N 0.192 0.284 0.871
N10 N 0.192 0.408 0.321
N11 N 0.216 0.308 0.629
N12 N 0.216 0.408 0.587
N13 N 0.284 0.871 0.192
N14 N 0.284 0.913 0.092
N15 N 0.308 0.179 0.092
N16 N 0.308 0.629 0.216
N17 N 0.321 0.192 0.408
N18 N 0.321 0.629 0.913
N19 N 0.371 0.087 0.679
N20 N 0.371 0.784 0.692
N21 N 0.408 0.321 0.192
N22 N 0.408 0.587 0.216
N23 N 0.413 0.129 0.821
N24 N 0.413 0.784 0.592
N25 N 0.587 0.216 0.408
N26 N 0.587 0.871 0.179
N27 N 0.592 0.413 0.784
N28 N 0.592 0.679 0.808
N29 N 0.629 0.216 0.308
N30 N 0.629 0.913 0.321
N31 N 0.679 0.371 0.087
N32 N 0.679 0.808 0.592
N33 N 0.692 0.371 0.784
N34 N 0.692 0.821 0.908
N35 N 0.716 0.087 0.908
N36 N 0.716 0.129 0.808
N37 N 0.784 0.592 0.413
N38 N 0.784 0.692 0.371
N39 N 0.808 0.592 0.679
N40 N 0.808 0.716 0.129
N41 N 0.821 0.413 0.129
N42 N 0.821 0.908 0.692
N43 N 0.871 0.179 0.587
N44 N 0.871 0.192 0.284
N45 N 0.908 0.692 0.821
N46 N 0.908 0.716 0.087
N47 N 0.913 0.092 0.284
N48 N 0.913 0.321 0.629
# space group: No. 230
# formation energy (no corrections): 519 meV/atom
# E: -6.17 eV/atom

[3]
# MgAlSb PBE relaxed
data_MgAlSb
_cell_length_a 6.520
_cell_length_b 6.520
_cell_length_c 6.520
_cell_angle_alpha 150.50
_cell_angle_beta 150.50
_cell_angle_gamma 42.20
_space_group_name_H-M_alt 'P 1'
_space_group_IT_number 1
_space_group_name_Hall 'P 1'
loop_
_atom_site_label
_atom_site_type_symbol
_atom_site_fract_x
_atom_site_fract_y
_atom_site_fract_z
Mg1 Mg 0.000 0.000 0.000
Al1 Al 0.655 0.655 0.000
Sb1 Sb 0.320 0.320 0.000
# space group: No. 107
# formation energy (no corrections): 71 meV/atom
# E: -3.08 eV/atom

[4]
# CoMoPt2 PBE relaxed
data_CoMoPt2
_cell_length_a 3.832
_cell_length_b 3.832
_cell_length_c 3.926
_cell_angle_alpha 90.00
_cell_angle_beta 90.00
_cell_angle_gamma 90.00
_space_group_name_H-M_alt 'P 1'
_space_group_IT_number 1
_space_group_name_Hall 'P 1'
loop_
_atom_site_label
_atom_site_type_symbol
_atom_site_fract_x
_atom_site_fract_y
_atom_site_fract_z
Co1 Co 0.000 0.000 0.000
Mo1 Mo 0.500 0.500 0.000
Pt1 Pt 0.000 0.500 0.500
Pt2 Pt 0.500 0.000 0.500
# space group: No. 123
# energy relative to the lowest polymorph listed for this composition: 102.6 meV/atom
# E: -7.60 eV/atom
# formation energy: -91.3 meV/atom

[5]
# Ba3Mg7Hg4 PBE relaxed
data_Ba3Mg7Hg4
_cell_length_a 9.484
_cell_length_b 9.484
_cell_length_c 10.452
_cell_angle_alpha 122.03
_cell_angle_beta 122.03
_cell_angle_gamma 30.98
_space_group_name_H-M_alt 'P 1'
_space_group_IT_number 1
_space_group_name_Hall 'P 1'
loop_
_atom_site_label
_atom_site_type_symbol
_atom_site_fract_x
_atom_site_fract_y
_atom_site_fract_z
Ba1 Ba 0.000 0.000 0.000
Ba2 Ba 0.300 0.300 0.298
Ba3 Ba 0.700 0.700 0.702
Mg1 Mg 0.000 0.000 0.500
Mg2 Mg 0.148 0.148 0.426
Mg3 Mg 0.328 0.328 0.982
Mg4 Mg 0.497 0.497 0.688
Mg5 Mg 0.503 0.503 0.312
Mg6 Mg 0.672 0.672 0.018
Mg7 Mg 0.852 0.852 0.574
Hg1 Hg 0.125 0.125 0.836
Hg2 Hg 0.340 0.340 0.706
Hg3 Hg 0.660 0.660 0.294
Hg4 Hg 0.875 0.875 0.164
# space group: No. 12
# E: -1.58 eV/atom
# formation energy: -281.3 meV/atom

[6]
# LiTb3Sm3S8 PBE relaxed
data_LiTb3Sm3S8
_cell_length_a 7.894
_cell_length_b 7.894
_cell_length_c 7.894
_cell_angle_alpha 59.81
_cell_angle_beta 59.81
_cell_angle_gamma 59.81
_space_group_name_H-M_alt 'P 1'
_space_group_IT_number 1
_space_group_name_Hall 'P 1'
loop_
_atom_site_label
_atom_site_type_symbol
_atom_site_fract_x
_atom_site_fract_y
_atom_site_fract_z
Li1 Li 0.000 0.000 0.000
Tb1 Tb 0.000 0.500 0.500
Tb2 Tb 0.500 0.000 0.500
Tb3 Tb 0.500 0.500 0.000
Sm1 Sm 0.000 0.000 0.500
Sm2 Sm 0.000 0.500 0.000
Sm3 Sm 0.500 0.000 0.000
S1 S 0.244 0.244 0.751
S2 S 0.244 0.751 0.244
S3 S 0.249 0.756 0.756
S4 S 0.252 0.252 0.252
S5 S 0.748 0.748 0.748
S6 S 0.751 0.244 0.244
S7 S 0.756 0.249 0.756
S8 S 0.756 0.756 0.249
# space group: No. 166
# formation energy (no corrections): -1998 meV/atom
# E: -6.20 eV/atom

[7]
# TbCe2PmSb5 PBE relaxed
data_TbCe2PmSb5
_cell_length_a 5.306
_cell_length_b 5.306
_cell_length_c 11.728
_cell_angle_alpha 90.00
_cell_angle_beta 90.00
_cell_angle_gamma 90.00
_space_group_name_H-M_alt 'P 1'
_space_group_IT_number 1
_space_group_name_Hall 'P 1'
loop_
_atom_site_label
_atom_site_type_symbol
_atom_site_fract_x
_atom_site_fract_y
_atom_site_fract_z
Tb1 Tb 0.000 0.000 0.000
Ce1 Ce 0.500 0.500 0.216
Ce2 Ce 0.500 0.500 0.784
Pm1 Pm 0.000 0.000 0.500
Sb1 Sb 0.000 0.000 0.250
Sb2 Sb 0.000 0.000 0.750
Sb3 Sb 0.000 0.500 0.000
Sb4 Sb 0.500 0.000 0.000
Sb5 Sb 0.500 0.500 0.500
# space group: No. 123
# formation energy (no corrections): -285 meV/atom
# E: -4.94 eV/atom

[8]
# Tm8CuSn2 PBE relaxed
data_Tm8CuSn2
_cell_length_a 9.731
_cell_length_b 9.731
_cell_length_c 6.608
_cell_angle_alpha 103.69
_cell_angle_beta 103.69
_cell_angle_gamma 29.35
_space_group_name_H-M_alt 'P 1'
_space_group_IT_number 1
_space_group_name_Hall 'P 1'
loop_
_atom_site_label
_atom_site_type_symbol
_atom_site_fract_x
_atom_site_fract_y
_atom_site_fract_z
Tm1 Tm 0.018 0.018 0.280
Tm2 Tm 0.215 0.215 0.817
Tm3 Tm 0.353 0.353 0.502
Tm4 Tm 0.409 0.409 0.031
Tm5 Tm 0.591 0.591 0.969
Tm6 Tm 0.647 0.647 0.498
Tm7 Tm 0.785 0.785 0.183
Tm8 Tm 0.982 0.982 0.720
Cu1 Cu 0.500 0.500 0.500
Sn1 Sn 0.183 0.183 0.259
Sn2 Sn 0.817 0.817 0.741
# space group: No. 12
# E: -4.64 eV/atom
# formation energy: -288.8 meV/atom

[9]
# TlIn2SnC PBE relaxed
data_TlIn2SnC
_cell_length_a 4.800
_cell_length_b 4.800
_cell_length_c 5.213
_cell_angle_alpha 90.00
_cell_angle_beta 90.00
_cell_angle_gamma 90.00
_space_group_name_H-M_alt 'P 1'
_space_group_IT_number 1
_space_group_name_Hall 'P 1'
loop_
_atom_site_label
_atom_site_type_symbol
_atom_site_fract_x
_atom_site_fract_y
_atom_site_fract_z
Tl1 Tl 0.000 0.000 0.000
In1 In 0.000 0.500 0.500
In2 In 0.500 0.000 0.500
Sn1 Sn 0.500 0.500 0.000
C1 C 0.500 0.500 0.500
# space group: No. 123
# E: -3.46 eV/atom
# formation energy: 755.9 meV/atom

[10]
# SrCa2Er PBE relaxed
data_SrCa2Er
_cell_length_a 6.094
_cell_length_b 6.094
_cell_length_c 6.094
_cell_angle_alpha 60.00
_cell_angle_beta 60.00
_cell_angle_gamma 60.00
_space_group_name_H-M_alt 'P 1'
_space_group_IT_number 1
_space_group_name_Hall 'P 1'
loop_
_atom_site_label
_atom_site_type_symbol
_atom_site_fract_x
_atom_site_fract_y
_atom_site_fract_z
Sr1 Sr 0.000 0.000 0.000
Ca1 Ca 0.250 0.250 0.250
Ca2 Ca 0.750 0.750 0.750
Er1 Er 0.500 0.500 0.500
# space group: No. 225
# energy relative to the lowest polymorph listed for this composition: 54.7 meV/atom
# E: -2.39 eV/atom
# formation energy: 170.8 meV/atom

[11]
# YSc2Cr PBE relaxed
data_YSc2Cr
_cell_length_a 6.926
_cell_length_b 6.926
_cell_length_c 6.926
_cell_angle_alpha 60.00
_cell_angle_beta 60.00
_cell_angle_gamma 60.00
_space_group_name_H-M_alt 'P 1'
_space_group_IT_number 1
_space_group_name_Hall 'P 1'
loop_
_atom_site_label
_atom_site_type_symbol
_atom_site_fract_x
_atom_site_fract_y
_atom_site_fract_z
Y1 Y 0.125 0.125 0.125
Y2 Y 0.875 0.875 0.875
Sc1 Sc 0.000 0.500 0.500
Sc2 Sc 0.500 0.000 0.500
Sc3 Sc 0.500 0.500 0.000
Sc4 Sc 0.500 0.500 0.500
Cr1 Cr 0.375 0.375 0.375
Cr2 Cr 0.625 0.625 0.625
# space group: No. 227
# energy relative to the lowest polymorph listed for this composition: 897.5 meV/atom
# E: -6.11 eV/atom
# formation energy: 1075.1 meV/atom

[12]
# CeZrNiOs PBE relaxed
data_CeZrNiOs
_cell_length_a 4.739
_cell_length_b 4.739
_cell_length_c 4.739
_cell_angle_alpha 60.00
_cell_angle_beta 60.00
_cell_angle_gamma 60.00
_space_group_name_H-M_alt 'P 1'
_space_group_IT_number 1
_space_group_name_Hall 'P 1'
loop_
_atom_site_label
_atom_site_type_symbol
_atom_site_fract_x
_atom_site_fract_y
_atom_site_fract_z
Ce1 Ce 0.000 0.000 0.000
Zr1 Zr 0.500 0.500 0.500
Ni1 Ni 0.250 0.250 0.250
Os1 Os 0.750 0.750 0.750
# space group: No. 216
# E: -8.10 eV/atom
# formation energy: -222.1 meV/atom

[13]
# Pa3Ni7P4 PBE relaxed
data_Pa3Ni7P4
_cell_length_a 7.585
_cell_length_b 7.585
_cell_length_c 8.623
_cell_angle_alpha 124.31
_cell_angle_beta 124.31
_cell_angle_gamma 30.04
_space_group_name_H-M_alt 'P 1'
_space_group_IT_number 1
_space_group_name_Hall 'P 1'
loop_
_atom_site_label
_atom_site_type_symbol
_atom_site_fract_x
_atom_site_fract_y
_atom_site_fract_z
Pa1 Pa 0.000 0.000 0.000
Pa2 Pa 0.314 0.314 0.309
Pa3 Pa 0.686 0.686 0.691
Ni1 Ni 0.000 0.000 0.500
Ni2 Ni 0.153 0.153 0.887
Ni3 Ni 0.319 0.319 0.667
Ni4 Ni 0.497 0.497 0.287
Ni5 Ni 0.503 0.503 0.713
Ni6 Ni 0.681 0.681 0.333
Ni7 Ni 0.847 0.847 0.113
P1 P 0.119 0.119 0.398
P2 P 0.343 0.343 0.964
P3 P 0.657 0.657 0.036
P4 P 0.881 0.881 0.602
# space group: No. 12
# E: -7.30 eV/atom
# formation energy: -833.0 meV/atom

[14]
# Y2PaGe3Pt4 PBE relaxed
data_Y2PaGe3Pt4
_cell_length_a 4.290
_cell_length_b 4.290
_cell_length_c 11.178
_cell_angle_alpha 90.00
_cell_angle_beta 90.00
_cell_angle_gamma 90.00
_space_group_name_H-M_alt 'P 1'
_space_group_IT_number 1
_space_group_name_Hall 'P 1'
loop_
_atom_site_label
_atom_site_type_symbol
_atom_site_fract_x
_atom_site_fract_y
_atom_site_fract_z
Y1 Y 0.000 0.500 0.214
Y2 Y 0.500 0.000 0.786
Pa1 Pa 0.000 0.000 0.500
Ge1 Ge 0.000 0.500 0.875
Ge2 Ge 0.500 0.000 0.125
Ge3 Ge 0.500 0.500 0.500
Pt1 Pt 0.000 0.000 0.000
Pt2 Pt 0.000 0.500 0.657
Pt3 Pt 0.500 0.000 0.343
Pt4 Pt 0.500 0.500 0.000
# space group: No. 115
# E: -6.90 eV/atom
# formation energy: -856.5 meV/atom

[15]
# LiIn5Sn2 PBE relaxed
data_LiIn5Sn2
_cell_length_a 6.913
_cell_length_b 13.670
_cell_length_c 4.364
_cell_angle_alpha 90.00
_cell_angle_beta 90.00
_cell_angle_gamma 90.00
_space_group_name_H-M_alt 'P 1'
_space_group_IT_number 1
_space_group_name_Hall 'P 1'
loop_
_atom_site_label
_atom_site_type_symbol
_atom_site_fract_x
_atom_site_fract_y
_atom_site_fract_z
Li1 Li 0.000 0.000 0.000
Li2 Li 0.500 0.500 0.000
In1 In 0.000 0.500 0.000
In2 In 0.008 0.248 0.000
In3 In 0.238 0.878 0.500
In4 In 0.262 0.378 0.500
In5 In 0.492 0.748 0.000
In6 In 0.500 0.000 0.000
In7 In 0.508 0.252 0.000
In8 In 0.738 0.622 0.500
In9 In 0.762 0.122 0.500
In10 In 0.992 0.752 0.000
Sn1 Sn 0.248 0.622 0.500
Sn2 Sn 0.252 0.122 0.500
Sn3 Sn 0.748 0.878 0.500
Sn4 Sn 0.752 0.378 0.500
# space group: No. 55
# energy relative to the lowest polymorph listed for this composition: 0.0 meV/atom
# E: -3.00 eV/atom
# formation energy: -52.5 meV/atom

[16]
# Tb7Ho2Th3 PBE relaxed
data_Tb7Ho2Th3
_cell_length_a 11.794
_cell_length_b 11.794
_cell_length_c 11.794
_cell_angle_alpha 31.58
_cell_angle_beta 31.58
_cell_angle_gamma 31.58
_space_group_name_H-M_alt 'P 1'
_space_group_IT_number 1
_space_group_name_Hall 'P 1'
loop_
_atom_site_label
_atom_site_type_symbol
_atom_site_fract_x
_atom_site_fract_y
_atom_site_fract_z
Tb1 Tb 0.000 0.000 0.000
Tb2 Tb 0.087 0.087 0.580
Tb3 Tb 0.087 0.580 0.087
Tb4 Tb 0.420 0.913 0.913
Tb5 Tb 0.580 0.087 0.087
Tb6 Tb 0.913 0.420 0.913
Tb7 Tb 0.913 0.913 0.420
Ho1 Ho 0.166 0.166 0.166
Ho2 Ho 0.834 0.834 0.834
Th1 Th 0.346 0.346 0.346
Th2 Th 0.500 0.500 0.500
Th3 Th 0.654 0.654 0.654
# space group: No. 166
# E: -4.95 eV/atom
# formation energy: 365.3 meV/atom

[17]
# Ta2AgCl PBE relaxed
data_Ta2AgCl
_cell_length_a 5.321
_cell_length_b 5.321
_cell_length_c 5.321
_cell_angle_alpha 135.53
_cell_angle_beta 135.53
_cell_angle_gamma 64.71
_space_group_name_H-M_alt 'P 1'
_space_group_IT_number 1
_space_group_name_Hall 'P 1'
loop_
_atom_site_label
_atom_site_type_symbol
_atom_site_fract_x
_atom_site_fract_y
_atom_site_fract_z
Ta1 Ta 0.000 0.000 0.000
Ta2 Ta 0.750 0.250 0.500
Ag1 Ag 0.250 0.750 0.500
Cl1 Cl 0.500 0.500 0.000
# space group: No. 119
# energy relative to the lowest polymorph listed for this composition: 950.6 meV/atom
# formation energy (no corrections): 898 meV/atom
# E: -6.20 eV/atom

[18]
# BeCd2Pt PBE relaxed
data_BeCd2Pt
_cell_length_a 3.830
_cell_length_b 3.762
_cell_length_c 5.262
_cell_angle_alpha 90.00
_cell_angle_beta 110.48
_cell_angle_gamma 90.00
_space_group_name_H-M_alt 'P 1'
_space_group_IT_number 1
_space_group_name_Hall 'P 1'
loop_
_atom_site_label
_atom_site_type_symbol
_atom_site_fract_x
_atom_site_fract_y
_atom_site_fract_z
Be1 Be 0.000 0.000 0.000
Cd1 Cd 0.412 0.500 0.808
Cd2 Cd 0.717 0.000 0.437
Pt1 Pt 0.118 0.500 0.232
# space group: No. 6
# E: -3.04 eV/atom
# formation energy: -136.7 meV/atom

[19]
# CrHIrW2 PBE relaxed
data_CrHIrW2
_cell_length_a 3.973
_cell_length_b 3.973
_cell_length_c 3.862
_cell_angle_alpha 90.00
_cell_angle_beta 90.00
_cell_angle_gamma 90.00
_space_group_name_H-M_alt 'P 1'
_space_group_IT_number 1
_space_group_name_Hall 'P 1'
loop_
_atom_site_label
_atom_site_type_symbol
_atom_site_fract_x
_atom_site_fract_y
_atom_site_fract_z
Cr1 Cr 0.000 0.000 0.000
H1 H 0.000 0.000 0.500
Ir1 Ir 0.500 0.500 0.000
W1 W 0.000 0.500 0.500
W2 W 0.500 0.000 0.500
# space group: No. 123
# E: -9.51 eV/atom

[20]
# SmTmThSc3 PBE relaxed
data_SmTmThSc3
_cell_length_a 10.110
_cell_length_b 3.439
_cell_length_c 10.197
_cell_angle_alpha 90.00
_cell_angle_beta 108.29
_cell_angle_gamma 90.00
_space_group_name_H-M_alt 'P 1'
_space_group_IT_number 1
_space_group_name_Hall 'P 1'
loop_
_atom_site_label
_atom_site_type_symbol
_atom_site_fract_x
_atom_site_fract_y
_atom_site_fract_z
Sm1 Sm 0.213 0.250 0.369
Sm2 Sm 0.787 0.750 0.631
Tm1 Tm 0.124 0.750 0.629
Tm2 Tm 0.876 0.250 0.371
Th1 Th 0.374 0.250 0.871
Th2 Th 0.626 0.750 0.129
Sc1 Sc 0.043 0.250 0.882
Sc2 Sc 0.291 0.750 0.115
Sc3 Sc 0.463 0.750 0.630
Sc4 Sc 0.537 0.250 0.370
Sc5 Sc 0.709 0.250 0.885
Sc6 Sc 0.957 0.750 0.118
# space group: No. 11
# E: -5.88 eV/atom
# formation energy: 49.6 meV/atom